Entry 1:
Compound: Sr4AgSn8
Source: the Alexandria database
Functional: GGA-PBE
Structure: relaxed

Output
The calculation puts the final energy at -3.603 eV per atom. Its space group is Pmm2, No. 25. The formation energy is -0.40 eV per atom.

abc: 4.518 4.566 19.861
angles: 90.00 90.00 90.00
Fractional coordinates of all 13 atoms:
Sr1 0.000 0.000 0.000
Sr2 0.000 0.500 0.487
Sr3 0.500 0.000 0.782
Sr4 0.500 0.500 0.280
Ag1 0.000 0.500 0.716
Sn1 0.000 0.000 0.337
Sn2 0.000 0.000 0.624
Sn3 0.000 0.500 0.141
Sn4 0.000 0.500 0.854
Sn5 0.500 0.000 0.140
Sn6 0.500 0.000 0.428
Sn7 0.500 0.500 0.625
Sn8 0.500 0.500 0.942

***

Entry 2:
Compound: SmMgCuPd
Source: the Alexandria database
Functional: GGA-PBE
Structure: relaxed

Output
The calculation puts the final energy at -4.377 eV per atom. Its space group is R3m, No. 160. The formation energy is -0.48 eV per atom.

abc: 5.231 5.231 5.231
angles: 51.69 51.69 51.69
Fractional coordinates of all 4 atoms:
Sm1 0.000 0.000 0.000
Mg1 0.501 0.501 0.501
Cu1 0.786 0.786 0.786
Pd1 0.216 0.216 0.216

***

Entry 3:
Compound: Mn2NbHRu
Source: the Alexandria database
Functional: GGA-PBE
Structure: relaxed

Output
The calculation puts the final energy at -8.240 eV per atom. Its space group is P4/mmm, No. 123.

abc: 3.735 3.735 4.161
angles: 90.00 90.00 90.00
Fractional coordinates of all 5 atoms:
Mn1 0.000 0.500 0.000
Mn2 0.500 0.000 0.000
Nb1 0.000 0.000 0.500
H1 0.000 0.000 0.000
Ru1 0.500 0.500 0.500

***

Entry 4:
Compound: La2AlCo
Source: the Alexandria database
Functional: GGA-PBE
Structure: relaxed

Output
The calculation puts the final energy at -5.234 eV per atom. Its space group is Immm, No. 71. The formation energy is -0.06 eV per atom.

abc: 5.534 5.534 5.534
angles: 135.78 121.38 76.27
Fractional coordinates of all 4 atoms:
La1 0.205 0.205 0.000
La2 0.795 0.795 0.000
Al1 0.500 0.000 0.500
Co1 0.000 0.500 0.500